This record from the Alexandria database describes a geometry-optimized LiDy2PtO6 structure. The functional is PBE.

abc: 5.321 5.761 7.590
angles: 90.00 88.97 90.00
Sites, in units of the cell vectors:
Dy 0.976 0.083 0.748
Dy 0.024 0.917 0.252
Dy 0.476 0.417 0.248
Dy 0.524 0.583 0.752
Li 0.000 0.500 0.500
Li 0.500 0.000 0.000
O 0.173 0.201 0.063
O 0.189 0.184 0.441
O 0.876 0.543 0.248
O 0.827 0.799 0.937
O 0.124 0.457 0.752
O 0.811 0.816 0.559
O 0.376 0.957 0.748
O 0.327 0.701 0.437
O 0.689 0.316 0.941
O 0.673 0.299 0.563
O 0.311 0.684 0.059
O 0.624 0.043 0.252
Pt 0.500 0.000 0.500
Pt 0.000 0.500 0.000

crystal system	monoclinic
formation energy from raw total energies	-2271	meV/atom
space-group type	No. 14

---

This record from the Alexandria database describes a geometry-optimized LiDyPuO6 structure. The functional is PBE.

abc: 4.915 5.301 5.301
angles: 120.00 90.00 90.00
Each line ends with the local moment (μB).
Sites, in units of the cell vectors:
O 0.275 0.671 0.027  0.01
O 0.725 0.671 0.644  0.01
O 0.275 0.973 0.644  0.01
O 0.725 0.356 0.027  0.01
O 0.725 0.973 0.329  0.01
O 0.275 0.356 0.329  0.01
Pu 0.500 0.667 0.333  -0.14
Li 0.500 0.000 0.000  0.00
Dy 0.000 0.333 0.667  0.00

crystal system	trigonal
formation energy from raw total energies	-2440	meV/atom
space-group type	No. 149

---

This record from the Alexandria database describes a geometry-optimized Li2DyPuO4 structure. The functional is PBE.

abc: 4.473 4.473 6.332
angles: 110.68 110.68 90.00
Each line ends with the local moment (μB).
Sites, in units of the cell vectors:
O 0.528 0.028 0.057  -0.01
O 0.972 0.472 0.943  -0.01
O 0.286 0.286 0.572  -0.06
O 0.714 0.714 0.428  -0.06
Pu 0.750 0.250 0.500  4.89
Li 0.250 0.750 0.500  0.01
Li 0.000 0.000 0.000  0.01
Dy 0.500 0.500 0.000  0.05

crystal system	tetragonal
formation energy from raw total energies	-2680	meV/atom
space-group type	No. 119

---

This record from the Alexandria database describes a geometry-optimized Li2DyRhO4 structure. The functional is PBE.

abc: 3.269 5.201 5.387
angles: 107.73 90.00 90.00
Sites, in units of the cell vectors:
Dy 0.500 0.500 0.000
O 0.500 0.203 0.232
O 0.500 0.797 0.768
O 0.000 0.253 0.750
O 0.000 0.747 0.250
Li 0.000 0.500 0.500
Li 0.500 0.000 0.500
Rh 0.000 0.000 0.000

crystal system	monoclinic
formation energy from raw total energies	-2017	meV/atom
space-group type	No. 10

---

This record from the Alexandria database describes a geometry-optimized LiDy2RhO5 structure. The functional is PBE.

abc: 5.734 6.518 6.518
angles: 90.00 90.00 90.00
Each line ends with the local moment (μB).
Sites, in units of the cell vectors:
O 0.745 0.861 0.361  0.14
O 0.255 0.639 0.861  0.14
O 0.500 0.000 0.000  0.12
O 0.255 0.861 0.361  0.14
O 0.255 0.361 0.139  0.14
O 0.745 0.139 0.639  0.14
O 0.745 0.361 0.139  0.14
O 0.255 0.139 0.639  0.14
O 0.500 0.500 0.500  0.12
O 0.745 0.639 0.861  0.14
Dy 0.500 0.324 0.824  0.00
Dy 0.500 0.176 0.324  0.00
Dy 0.500 0.824 0.676  0.00
Dy 0.500 0.676 0.176  0.00
Li 0.000 0.500 0.500  0.00
Li 0.000 0.000 0.000  0.00
Rh 0.000 0.500 0.000  1.17
Rh 0.000 0.000 0.500  1.17

crystal system	tetragonal
formation energy from raw total energies	-2253	meV/atom
space-group type	No. 127

---

This record from the Alexandria database describes a geometry-optimized Li3Dy3RhO8 structure. The functional is PBE.

abc: 6.619 6.619 6.260
angles: 121.92 90.00 120.00
Each line ends with the local moment (μB).
Sites, in units of the cell vectors:
O 0.772 0.998 0.271  0.06
O 0.255 0.511 0.267  0.01
O 0.773 0.002 0.729  0.06
O 0.745 0.489 0.733  0.01
O 0.228 0.456 0.729  0.06
O 0.772 0.544 0.271  0.06
O 0.228 0.002 0.729  0.06
O 0.227 0.998 0.271  0.06
Li 0.000 0.000 0.000  0.00
Li 0.000 0.500 0.000  0.00
Li 0.500 0.500 0.000  0.00
Dy 0.500 0.500 0.500  0.01
Dy 0.500 0.000 0.500  0.01
Dy 0.000 0.500 0.500  0.01
Rh 0.000 0.000 0.500  0.63

crystal system	trigonal
formation energy from raw total energies	-2414	meV/atom
space-group type	No. 166

---

This record from the Alexandria database describes a geometry-optimized LiDy2RhO6 structure. The functional is PBE.

abc: 5.284 5.739 7.575
angles: 90.00 89.04 90.00
Each line ends with the local moment (μB).
Sites, in units of the cell vectors:
O 0.828 0.796 0.938  0.16
O 0.172 0.204 0.062  0.16
O 0.879 0.542 0.247  0.12
O 0.690 0.317 0.944  0.13
O 0.190 0.183 0.444  0.13
O 0.328 0.704 0.438  0.16
O 0.672 0.296 0.562  0.16
O 0.810 0.817 0.556  0.13
O 0.379 0.958 0.747  0.12
O 0.310 0.683 0.056  0.13
O 0.621 0.042 0.253  0.12
O 0.121 0.458 0.753  0.12
Dy 0.978 0.083 0.747  0.03
Dy 0.522 0.583 0.753  0.03
Dy 0.022 0.917 0.253  0.03
Dy 0.478 0.417 0.247  0.03
Rh 0.500 0.000 0.500  0.99
Rh 0.000 0.500 0.000  0.99
Li 0.500 0.000 0.000  0.00
Li 0.000 0.500 0.500  0.00

crystal system	monoclinic
formation energy from raw total energies	-2318	meV/atom
space-group type	No. 14

---

This record from the Alexandria database describes a geometry-optimized LiDy2RuO6 structure. The functional is PBE.

abc: 5.505 5.505 5.718
angles: 61.22 61.22 60.00
Each line ends with the local moment (μB).
Sites, in units of the cell vectors:
Dy 0.029 0.029 0.914  0.04
Dy 0.532 0.532 0.403  0.07
O 0.675 0.111 0.770  0.09
O 0.975 0.578 0.251  0.16
O 0.111 0.444 0.770  0.09
O 0.196 0.975 0.251  0.16
O 0.444 0.675 0.770  0.09
O 0.578 0.196 0.251  0.16
Ru 0.321 0.321 0.038  1.94
Li 0.801 0.801 0.597  0.01

crystal system	trigonal
formation energy from raw total energies	-2400	meV/atom
space-group type	No. 146